1.
This record from Alexandria via LeMat-Bulk describes an optimized crystal structure of Sm2Tm6Cd. The functional is PBE.

a = 5.3877 Å, b = 9.7807 Å, c = 10.1861 Å
α = 90.00°, β = 90.04°, γ = 90.00°
Fractional coordinates of all 18 atoms:
Sm (0.0005, 0.3066, 0.7610)
Sm (0.4995, 0.8066, 0.7390)
Sm (0.5005, 0.1934, 0.2610)
Sm (0.9995, 0.6934, 0.2390)
Tm (0.0000, 0.0202, 0.1758)
Tm (0.9994, 0.6766, 0.5640)
Tm (0.9997, 0.6380, 0.8909)
Tm (0.5003, 0.1380, 0.6091)
Tm (0.5006, 0.1766, 0.9360)
Tm (0.5000, 0.5202, 0.3242)
Tm (0.0000, 0.9798, 0.8242)
Tm (0.0006, 0.3234, 0.4360)
Tm (0.0003, 0.3620, 0.1091)
Tm (0.4997, 0.8620, 0.3909)
Tm (0.4994, 0.8234, 0.0640)
Tm (0.5000, 0.4798, 0.6758)
Cd (0.5000, 0.5000, 0.0000)
Cd (0.0000, 0.0000, 0.5000)

Computed properties:
Calculated total energy (Ha/atom): -0.1509
Energy of formation (kcal/mol of atoms): 0.6
Symmetry: P2_1/c (14)

=====

2.
This record from Alexandria via LeMat-Bulk describes an optimized crystal structure of Sm3TmCd4. The functional is PBE.

a = 3.7627 Å, b = 3.7627 Å, c = 15.3364 Å
α = 90.00°, β = 90.00°, γ = 90.00°
Fractional coordinates of all 8 atoms:
Tm (0.5000, 0.5000, 0.0000)
Sm (0.5000, 0.5000, 0.2459)
Sm (0.5000, 0.5000, 0.5000)
Sm (0.5000, 0.5000, 0.7541)
Cd (0.0000, 0.0000, 0.8842)
Cd (0.0000, 0.0000, 0.1158)
Cd (0.0000, 0.0000, 0.3738)
Cd (0.0000, 0.0000, 0.6262)

Computed properties:
Calculated total energy (Ha/atom): -0.1139
Energy of formation (kcal/mol of atoms): -7.2
Symmetry: P4/mmm (123)

=====

3.
This record from Alexandria via LeMat-Bulk describes an optimized crystal structure of Sm3Tm6Cd. The functional is PBE.

a = 6.0382 Å, b = 10.8692 Å, c = 10.8692 Å
α = 119.77°, β = 90.00°, γ = 90.00°
Fractional coordinates of all 20 atoms:
Sm (0.4762, 0.9386, 0.7332)
Sm (0.9762, 0.7332, 0.9386)
Sm (0.0449, 0.3929, 0.6071)
Sm (0.5449, 0.6071, 0.3929)
Sm (0.9762, 0.0614, 0.2668)
Sm (0.4762, 0.2668, 0.0614)
Tm (0.0275, 0.7138, 0.6082)
Tm (0.5275, 0.6082, 0.7138)
Tm (0.3329, 0.5083, 0.9418)
Tm (0.8329, 0.9418, 0.5083)
Tm (0.4590, 0.9439, 0.0561)
Tm (0.6684, 0.2634, 0.7366)
Tm (0.1684, 0.7366, 0.2634)
Tm (0.9590, 0.0561, 0.9439)
Tm (0.3329, 0.0582, 0.4917)
Tm (0.8329, 0.4917, 0.0582)
Tm (0.0275, 0.3918, 0.2862)
Tm (0.5275, 0.2862, 0.3918)
Cd (0.1397, 0.2099, 0.7901)
Cd (0.6397, 0.7901, 0.2099)

Computed properties:
Calculated total energy (Ha/atom): -0.1518
Energy of formation (kcal/mol of atoms): 1.4
Symmetry: Cmc2_1 (36)

=====

4.
This record from Alexandria via LeMat-Bulk describes an optimized crystal structure of Sm8Tm6Cd. The functional is PBE.

a = 6.3106 Å, b = 9.3928 Å, c = 9.3928 Å
α = 120.00°, β = 90.00°, γ = 90.00°
Fractional coordinates of all 15 atoms:
Sm (0.8128, 0.0427, 0.2707)
Sm (0.8128, 0.7293, 0.7720)
Sm (0.8128, 0.2280, 0.9573)
Sm (0.1872, 0.9573, 0.7293)
Sm (0.1872, 0.2707, 0.2280)
Sm (0.1872, 0.7720, 0.0427)
Sm (0.8136, 0.3333, 0.6667)
Sm (0.1864, 0.6667, 0.3333)
Tm (0.6806, 0.6416, 0.0970)
Tm (0.6806, 0.9030, 0.5446)
Tm (0.6806, 0.4554, 0.3584)
Tm (0.3194, 0.3584, 0.9030)
Tm (0.3194, 0.0970, 0.4554)
Tm (0.3194, 0.5446, 0.6416)
Cd (0.5000, 0.0000, 0.0000)

Computed properties:
Calculated total energy (Ha/atom): -0.1565
Energy of formation (kcal/mol of atoms): 2.5
Symmetry: P-3 (147)

=====

- Look up the calculated total energy of the second one.
  -0.1139 Ha/atom

=====

- calculated total energy of number 1 (Sm2Tm6Cd)?
  -0.1509 Ha/atom